1.
The following is a DFT calculation (GGA-PBE) of an optimized crystal structure of Pr2Mg3Ag.

a b c (Å): 6.1228 6.1228 9.5696
angles (deg): 90.00 90.00 120.00
Space group P6_3/mmc (No. 194)
Inequivalent atoms, fractional coordinates:
Pr 0.3333 0.6667 0.0643 (multiplicity 4)
Mg 0.1648 0.3296 0.7500 (multiplicity 6)
Ag 0.0000 0.0000 0.0000 (multiplicity 2)

Computed properties:
crystal system = hexagonal
energy = -36.23 eV/cell
relative energy among the computed polymorphs = 0.00 kcal/mol of atoms

---

2.
The following is a DFT calculation (GGA-PBE) of an optimized crystal structure of Tm5Al3In.

a b c (Å): 8.9462 8.9462 6.4217
angles (deg): 90.00 90.00 120.00
Space group P6_3/mcm (No. 193)
Inequivalent atoms, fractional coordinates:
Tm 0.0000 0.2995 0.2500 (multiplicity 6)
Tm 0.3333 0.6667 0.0000 (multiplicity 4)
Al 0.0000 0.3660 0.7500 (multiplicity 6)
In 0.0000 0.0000 0.0000 (multiplicity 2)

Computed properties:
crystal system = hexagonal
energy = -78.62 eV/cell

---

3.
The following is a DFT calculation (GGA-PBE) of an optimized crystal structure of InCo2W.

a b c (Å): 9.108 2.809 4.545
angles (deg): 90.00 102.48 90.00
Space group Cm (No. 8)
Inequivalent atoms, fractional coordinates:
In 0.000 0.000 0.000 (multiplicity 2)
Co 0.013 0.500 0.509 (multiplicity 2)
Co 0.248 0.000 0.809 (multiplicity 2)
W 0.271 0.500 0.351 (multiplicity 2)

Computed properties:
crystal system = monoclinic
energy = -57.57 eV/cell

---

4.
The following is a DFT calculation (GGA-PBE) of an optimized crystal structure of KOs2Cl11.

a b c (Å): 17.150 13.063 10.790
angles (deg): 90.00 128.42 90.00
Space group Cm (No. 8)
Inequivalent atoms, fractional coordinates:
K 0.000 0.212 0.000 (multiplicity 4)
Os 0.336 0.500 0.120 (multiplicity 2)
Os 0.339 0.000 0.442 (multiplicity 2)
Os 0.450 0.000 0.151 (multiplicity 2)
Os 0.457 0.500 0.633 (multiplicity 2)
Cl 0.045 0.376 0.336 (multiplicity 4)
Cl 0.048 0.500 0.072 (multiplicity 2)
Cl 0.049 0.123 0.627 (multiplicity 4)
Cl 0.063 0.000 0.907 (multiplicity 2)
Cl 0.216 0.126 0.308 (multiplicity 4)
Cl 0.216 0.375 0.010 (multiplicity 4)
Cl 0.329 0.000 0.641 (multiplicity 2)
Cl 0.330 0.000 0.202 (multiplicity 2)
Cl 0.330 0.500 0.344 (multiplicity 2)
Cl 0.333 0.500 0.905 (multiplicity 2)
Cl 0.347 0.125 0.962 (multiplicity 4)
Cl 0.360 0.374 0.631 (multiplicity 4)
Cl 0.457 0.376 0.243 (multiplicity 4)
Cl 0.458 0.124 0.555 (multiplicity 4)

Computed properties:
crystal system = monoclinic
energy = -210.26 eV/cell
raw formation energy = -8.69 eV per formula unit

---

5.
The following is a DFT calculation (GGA-PBE) of an optimized crystal structure of CdIn2MoCl.

a b c (Å): 5.449 5.449 5.480
angles (deg): 90.00 90.00 90.00
Space group P4/mmm (No. 123)
Inequivalent atoms, fractional coordinates:
Cd 0.000 0.000 0.000 (multiplicity 1)
In 0.000 0.500 0.500 (multiplicity 2)
Mo 0.000 0.000 0.500 (multiplicity 1)
Cl 0.500 0.500 0.000 (multiplicity 1)

Computed properties:
crystal system = tetragonal
energy = -16.51 eV/cell
raw formation energy = 2.56 eV per formula unit

---

6.
The following is a DFT calculation (GGA-PBE) of an optimized crystal structure of Ga2NiC.

a b c (Å): 5.456 5.456 8.158
angles (deg): 90.00 90.00 90.00
Space group I-42d (No. 122)
Inequivalent atoms, fractional coordinates:
Ga 0.185 0.250 0.125 (multiplicity 8)
Ni 0.000 0.000 0.500 (multiplicity 4)
C 0.000 0.000 0.000 (multiplicity 4)

Computed properties:
crystal system = tetragonal
energy = -74.34 eV/cell

---

7.
The following is a DFT calculation (GGA-PBE) of an optimized crystal structure of ScMo2Rh.

a b c (Å): 3.193 3.193 6.462
angles (deg): 90.00 90.00 90.00
Space group P4mm (No. 99)
Inequivalent atoms, fractional coordinates:
Sc 0.000 0.000 0.000 (multiplicity 1)
Mo 0.000 0.000 0.491 (multiplicity 1)
Mo 0.500 0.500 0.277 (multiplicity 1)
Rh 0.500 0.500 0.754 (multiplicity 1)

Computed properties:
crystal system = tetragonal
energy = -36.22 eV/cell
relative energy among the computed polymorphs = 0.00 kcal/mol of atoms

---

8.
The following is a DFT calculation (GGA-PBE) of an optimized crystal structure of AgH.

a b c (Å): 7.5218 7.5218 3.2177
angles (deg): 90.00 90.00 120.00
Space group P6_3/m (No. 176)
Inequivalent atoms, fractional coordinates:
Ag 0.0458 0.6895 0.2500 (multiplicity 6)
H 0.1060 0.4284 0.2500 (multiplicity 6)

Computed properties:
crystal system = hexagonal
energy = -34.65 eV/cell
relative energy among the computed polymorphs = 0.29 kcal/mol of atoms

---

9.
The following is a DFT calculation (GGA-PBE) of an optimized crystal structure of CeAl2Pd2Pt.

a b c (Å): 4.710 4.710 5.575
angles (deg): 90.00 90.00 90.00
Space group P4/mmm (No. 123)
Inequivalent atoms, fractional coordinates:
Ce 0.000 0.000 0.000 (multiplicity 1)
Al 0.000 0.500 0.500 (multiplicity 2)
Pd 0.500 0.500 0.245 (multiplicity 2)
Pt 0.000 0.000 0.500 (multiplicity 1)

Computed properties:
crystal system = tetragonal
energy = -33.61 eV/cell

---

10.
The following is a DFT calculation (GGA-PBE) of an optimized crystal structure of NaTm3Ir.

a b c (Å): 5.401 5.401 5.401
angles (deg): 90.00 90.00 90.00
Space group Pm-3m (No. 221)
Inequivalent atoms, fractional coordinates:
Na 0.000 0.000 0.000 (multiplicity 1)
Tm 0.000 0.500 0.500 (multiplicity 3)
Ir 0.500 0.500 0.500 (multiplicity 1)

Computed properties:
crystal system = cubic
energy = -25.05 eV/cell

---

11.
The following is a DFT calculation (GGA-PBE) of an optimized crystal structure of Tb5Dy4Tl2.

a b c (Å): 5.2291 5.2291 46.9259
angles (deg): 90.00 90.00 120.00
Space group R-3m (No. 166, hexagonal axes)
Inequivalent atoms, fractional coordinates:
Tb 0.0000 0.0000 0.0000 (multiplicity 3)
Tb 0.0000 0.0000 0.1481 (multiplicity 6)
Tb 0.0000 0.0000 0.3015 (multiplicity 6)
Dy 0.0000 0.0000 0.0736 (multiplicity 6)
Dy 0.0000 0.0000 0.2252 (multiplicity 6)
Tl 0.0000 0.0000 0.3820 (multiplicity 6)

Computed properties:
crystal system = trigonal
energy = -130.51 eV/cell

---

12.
The following is a DFT calculation (GGA-PBE) of an optimized crystal structure of Mn3Si.

a b c (Å): 6.831 6.714 4.104
angles (deg): 90.00 90.00 90.00
Space group Cmcm (No. 63)
Inequivalent atoms, fractional coordinates:
Mn 0.000 0.064 0.250 (multiplicity 4)
Mn 0.166 0.264 0.750 (multiplicity 8)
Si 0.000 0.406 0.250 (multiplicity 4)

Computed properties:
crystal system = orthorhombic
energy = -129.32 eV/cell
raw formation energy = 0.60 eV per formula unit

---

Among the records above, which one has the lowest energy? KOs2Cl11